Record 1
MnSb8 | Alexandria | GGA-PBE | relaxed; calculated total energy = -4.489 eV per atom; energy relative to the elements, uncorrected = 0.194 eV/atom; magnetization = 2.5 μB/cell
1.0
-5.801 5.801 1.855
5.801 -5.801 1.855
5.801 5.801 -1.855
Mn Sb
1 8
Cartesian
0.000 0.000 0.000
4.013 0.000 0.000
7.588 0.000 0.000
0.000 4.013 0.000
4.288 4.288 0.000
1.513 -1.513 1.855
-1.513 1.513 1.855
1.513 1.513 1.855
0.000 7.588 0.000

Record 2
BaZn3Rh | Alexandria | GGA-PBE | relaxed; polymorph energy (0 for the lowest one) = 75.9 meV/atom; calculated total energy = -2.900 eV per atom; magnetization = 0.0 μB/cell; ΔH_f (0 K) = -0.28 eV/atom
1.0
8.832 -2.176 0.000
8.832 2.176 0.000
-1.372 0.000 5.594
Ba Zn Rh
2 6 2
Cartesian
0.000 0.000 0.000
11.974 0.000 1.954
0.700 0.000 3.204
2.637 0.000 4.977
5.356 0.000 3.795
8.055 0.000 2.780
12.941 0.000 5.207
15.256 0.000 2.358
6.119 0.000 0.967
10.145 0.000 4.402